# 1
## Na3Ag2Te3 (GGA-PBE)

Data for a relaxed structure of Na3Ag2Te3.

Geometry as extended XYZ:
```
32
Lattice="-3.780 4.485 -2.644 -2.969 -6.317 -6.473 -11.651 -4.233 9.476" Properties=species:S:1:pos:R:3 pbc="T T T"
Na -6.531 -3.687 0.477
Na -9.753 0.031 3.561
Na -15.252 -3.608 2.636
Na -5.263 -4.867 -5.953
Na -11.868 -2.379 -0.116
Na -8.647 -6.097 -3.201
Na -3.148 -2.457 -2.276
Na -13.136 -1.198 6.313
Na -6.240 -0.483 -1.465
Na -9.624 -3.670 5.796
Na -12.160 -5.582 1.825
Na -8.775 -2.395 -5.436
Ag -8.548 1.626 0.426
Ag -9.725 -2.922 2.221
Ag -13.285 -8.939 2.727
Ag -5.241 -1.896 -4.654
Ag -9.852 -7.692 -0.066
Ag -8.675 -3.144 -1.861
Ag -5.114 2.874 -2.367
Ag -13.159 -4.169 5.014
Te -4.067 -1.463 0.769
Te -12.196 -2.217 3.284
Te -14.332 -4.602 -0.408
Te -6.204 -3.848 -2.924
Te -8.914 -1.126 0.064
Te -7.532 -2.338 3.861
Te -14.114 -6.621 4.061
Te -6.239 -2.046 -7.265
Te -9.486 -4.939 0.296
Te -10.868 -3.728 -3.501
Te -4.285 0.556 -3.701
Te -12.161 -4.019 7.626
```

VASP energy	-92.79	eV for the cell shown
raw formation energy	-4.112	eV per formula unit

***

# 2
## NaAgTe3 (GGA-PBE)

Data for a relaxed structure of NaAgTe3.

Geometry as extended XYZ:
```
10
Lattice="4.812 0.000 -2.601 0.000 6.176 0.000 -2.502 0.000 12.697" Properties=species:S:1:pos:R:3 pbc="T T T"
Na -1.100 1.544 9.520
Na 3.410 4.632 0.576
Ag 0.101 1.544 5.968
Ag 2.209 4.632 4.128
Te 0.676 0.047 1.268
Te 1.634 3.136 8.828
Te 0.097 4.632 5.972
Te 2.213 1.544 4.124
Te 1.634 6.129 8.828
Te 0.676 3.041 1.268
```

VASP energy	-29.38	eV for the cell shown
raw formation energy	-1.094	eV per formula unit